! PrZnAg GGA-PBE relaxed; values from VASP
&SYSTEM
  ibrav = 0, nat = 3, ntyp = 3
/
ATOMIC_SPECIES
Pr 140.91 Pr.upf
Zn 65.41 Zn.upf
Ag 107.87 Ag.upf
CELL_PARAMETERS angstrom
3.530 0.000 0.000
0.000 4.752 0.000
0.000 -2.376 4.115
ATOMIC_POSITIONS crystal
Pr 0.667 0.667 0.333
Zn 0.167 0.333 0.667
Ag 0.167 0.000 0.000
! * calculated formation energy: -313 meV/atom
! * SG: P-6m2

***

! Na4CdSn4 GGA-PBE relaxed; values from VASP
&SYSTEM
  ibrav = 0, nat = 9, ntyp = 3
/
ATOMIC_SPECIES
Na 22.99 Na.upf
Cd 112.41 Cd.upf
Sn 118.71 Sn.upf
CELL_PARAMETERS angstrom
9.448 0.000 0.000
-4.724 6.070 2.464
0.000 0.000 4.929
ATOMIC_POSITIONS crystal
Na 0.179 0.585 0.456
Na 0.406 0.585 0.960
Na 0.594 0.415 0.544
Na 0.821 0.415 0.040
Cd 0.000 0.000 0.000
Sn 0.345 0.134 0.185
Sn 0.789 0.134 0.681
Sn 0.211 0.866 0.815
Sn 0.655 0.866 0.319
! * calculated formation energy: -27 meV/atom
! * SG: I222

***

! CsKMg14 GGA-PBE relaxed; values from VASP
&SYSTEM
  ibrav = 0, nat = 16, ntyp = 3
/
ATOMIC_SPECIES
Cs 132.91 Cs.upf
K 39.10 K.upf
Mg 24.30 Mg.upf
CELL_PARAMETERS angstrom
-5.576 3.244 -1.697
-0.247 -5.438 3.855
0.970 6.482 9.205
ATOMIC_POSITIONS crystal
Cs 0.409 0.591 0.500
K 0.908 0.092 0.500
Mg 0.798 0.202 0.000
Mg 0.298 0.702 0.000
Mg 0.409 0.091 0.500
Mg 0.312 0.187 0.000
Mg 0.909 0.591 0.500
Mg 0.813 0.688 0.000
Mg 0.140 0.357 0.212
Mg 0.140 0.357 0.788
Mg 0.643 0.860 0.212
Mg 0.643 0.860 0.788
Mg 0.648 0.352 0.247
Mg 0.648 0.352 0.753
Mg 0.141 0.859 0.250
Mg 0.141 0.859 0.750
! * calculated formation energy: 188 meV/atom
! * SG: Amm2

***

! IrC2 GGA-PBE relaxed; values from VASP
&SYSTEM
  ibrav = 0, nat = 3, ntyp = 2
/
ATOMIC_SPECIES
C 12.01 C.upf
Ir 192.22 Ir.upf
CELL_PARAMETERS angstrom
-0.855 2.227 -1.863
-2.472 0.461 1.685
1.977 2.591 2.191
ATOMIC_POSITIONS crystal
C 0.000 0.000 0.500
C 0.500 0.500 0.000
Ir 0.000 0.000 0.000
! * energy above the most stable polymorph in this dataset: 4.346 eV/f.u.
! * calculated formation energy: 2039 meV/atom
! * SG: P4/mmm

***

! SrBeIr2Rh GGA-PBE relaxed; values from VASP
&SYSTEM
  ibrav = 0, nat = 5, ntyp = 4
/
ATOMIC_SPECIES
Sr 87.62 Sr.upf
Ir 192.22 Ir.upf
Rh 102.91 Rh.upf
Be 9.01 Be.upf
CELL_PARAMETERS angstrom
4.875 0.000 0.000
0.000 4.295 0.000
0.000 0.000 4.875
ATOMIC_POSITIONS crystal
Sr 0.500 0.500 0.500
Ir 0.000 0.000 0.500
Ir 0.500 0.000 0.000
Rh 0.000 0.000 0.000
Be 0.000 0.500 0.000
! * calculated formation energy: 580 meV/atom
! * SG: P4/mmm

***

! YHf2HgN GGA-PBE relaxed; values from VASP
&SYSTEM
  ibrav = 0, nat = 5, ntyp = 4
/
ATOMIC_SPECIES
Y 88.91 Y.upf
Hf 178.49 Hf.upf
Hg 200.59 Hg.upf
N 14.01 N.upf
CELL_PARAMETERS angstrom
-0.269 -0.245 -4.440
-3.169 -3.110 0.364
-3.350 3.416 0.014
ATOMIC_POSITIONS crystal
Y 0.000 0.000 0.500
Hf 0.000 0.500 0.000
Hf 0.500 0.000 0.000
Hg 0.500 0.500 0.500
N 0.000 0.000 0.000
! * ΔE_f (raw): -0.784 eV per atom
! * SG: P4/mmm